First-principles (GGA-PBE) data for an optimized crystal structure of La3Pm7Mg, as listed in Alexandria via LeMat-Bulk.

Unit cell a=7.1757 b=7.1757 c=8.8560 alpha=90.00 beta=90.00 gamma=120.00
Space group P3m1 (No. 156)
Inequivalent atoms, fractional coordinates:
La1 0.1675 0.3350 0.0000
Pm1 0.0041 0.5021 0.3380
Pm2 0.3331 0.1665 0.6596
Pm3 0.3333 0.6667 0.6669
Mg1 0.0000 0.0000 0.3407

Properties
**Final energy**: -4.35 eV/atom
**Calculated formation energy**: 0.16 eV/atom